Entry 1:
## BAu3O (SCAN)

Data for a PBEsol-optimized structure of BAu3O.

Computed properties:
- Magnetization: 0.0 Bohr magnetons per cell
- Formation energy from raw total energies: 6.312 eV/f.u.
- Symmetry: Pm-3m (221)
- Raw total energy: -42.964 eV per atom

a b c (Å): 4.362 4.362 4.362
angles (deg): 90.00 90.00 90.00
Fractional positions:
B 0.500 0.500 0.500
Au 0.000 0.500 0.000
Au 0.000 0.000 0.500
Au 0.500 0.000 0.000
O 0.000 0.000 0.000

Entry 2:
## Cr2IrSe (SCAN)

Data for a PBEsol-optimized structure of Cr2IrSe.

Computed properties:
- Magnetization: 5.6 Bohr magnetons per cell
- Formation energy from raw total energies: 0.118 eV/f.u.
- Symmetry: Cmmm (65)
- Raw total energy: -31.957 eV per atom

a b c (Å): 2.890 4.439 4.439
angles (deg): 105.48 90.00 90.00
Last column: magnetic moment on the atom in μB.
Fractional positions:
Cr 0.000 0.500 0.000  2.77
Cr 0.000 0.000 0.500  2.77
Ir 0.500 0.000 0.000  -0.03
Se 0.500 0.500 0.500  -0.23

Entry 3:
## Pr4Fe3Si4Ru (SCAN)

Data for a PBEsol-optimized structure of Pr4Fe3Si4Ru.

Computed properties:
- Magnetization: 0.8 Bohr magnetons per cell
- Formation energy from raw total energies: -6.921 eV/f.u.
- Symmetry: P-4m2 (115)
- Raw total energy: -25.792 eV per atom

a b c (Å): 4.057 4.057 13.870
angles (deg): 90.00 90.00 90.00
Last column: magnetic moment on the atom in μB.
Fractional positions:
Pr 0.500 0.000 0.163  -0.01
Pr 0.500 0.000 0.656  -0.02
Pr 0.000 0.500 0.344  -0.02
Pr 0.000 0.500 0.837  -0.01
Fe 0.500 0.500 0.500  1.49
Fe 0.000 0.000 0.000  1.13
Fe 0.000 0.000 0.500  -1.46
Si 0.500 0.000 0.420  0.00
Si 0.500 0.000 0.914  -0.03
Si 0.000 0.500 0.086  -0.03
Si 0.000 0.500 0.580  0.00
Ru 0.500 0.500 0.000  -0.13

Entry 4:
## Fe2NiIr (SCAN)

Data for a PBEsol-optimized structure of Fe2NiIr.

Computed properties:
- Magnetization: 6.5 Bohr magnetons per cell
- Symmetry: I4/mmm (139)
- Calculated formation energy: -12.0 kJ per mole of atoms
- Raw total energy: -31.008 eV per atom

a b c (Å): 3.599 3.599 4.390
angles (deg): 114.20 114.20 90.00
Last column: magnetic moment on the atom in μB.
Fractional positions:
Ni 0.000 0.000 0.000  0.58
Ir 0.500 0.500 0.000  0.30
Fe 0.750 0.250 0.500  2.88
Fe 0.250 0.750 0.500  2.88

Entry 5:
## RhBrO2F (SCAN)

Data for a PBEsol-optimized structure of RhBrO2F.

Computed properties:
- Magnetization: 0.0 Bohr magnetons per cell
- Formation energy from raw total energies: -1.096 eV/f.u.
- Symmetry: P4/mmm (123)
- Raw total energy: -14.066 eV per atom

a b c (Å): 3.861 3.861 4.114
angles (deg): 90.00 90.00 90.00
Fractional positions:
Rh 0.000 0.000 0.000
O 0.000 0.500 0.000
O 0.500 0.000 0.000
Br 0.500 0.500 0.500
F 0.000 0.000 0.500

Entry 6:
## KRbTl2Cu (SCAN)

Data for a PBEsol-optimized structure of KRbTl2Cu.

Computed properties:
- Magnetization: 0.0 Bohr magnetons per cell
- Symmetry: P4/mmm (123)
- Calculated formation energy: 8.3 kJ per mole of atoms
- Raw total energy: -37.711 eV per atom

a b c (Å): 5.258 5.258 6.110
angles (deg): 90.00 90.00 90.00
Fractional positions:
K 0.500 0.500 0.500
Tl 0.000 0.500 0.000
Tl 0.500 0.000 0.000
Cu 0.000 0.000 0.000
Rb 0.000 0.000 0.500